No. 1
## ScFeCl2 (GGA-PBE)

Data for a relaxed ScFeCl2 crystal.

Computed properties:
**ρ**: 3766 kg/m3
**Formation energy without anion corrections**: -0.488 eV/atom
**Density of states at the Fermi level**: 2.71 states/eV/f.u.
**Space group**: No. 122
**E above lowest polymorph**: 404 meV per atom

Unit cell a=4.456 b=4.456 c=8.250 alpha=74.33 beta=74.33 gamma=90.00
Fractional positions:
Sc1 0.500 0.500 0.000
Sc2 0.250 0.750 0.500
Fe1 0.000 0.000 0.000
Fe2 0.750 0.250 0.500
Cl1 0.645 0.125 0.250
Cl2 0.105 0.625 0.250
Cl3 0.375 0.355 0.750
Cl4 0.875 0.895 0.750

---

No. 2
## ScFeCl2 (GGA-PBE)

Data for a relaxed ScFeCl2 crystal.

Computed properties:
**ρ**: 4024 kg/m3
**Formation energy without anion corrections**: -0.329 eV/atom
**Density of states at the Fermi level**: 4.71 states/eV/f.u.
**Space group**: No. 119
**E above lowest polymorph**: 563 meV per atom

Unit cell a=5.944 b=5.944 c=5.944 alpha=144.38 beta=144.38 gamma=51.26
Fractional positions:
Sc1 0.750 0.250 0.500
Fe1 0.500 0.500 0.000
Cl1 0.000 0.000 0.000
Cl2 0.250 0.750 0.500

---

The lowest density of states at the Fermi level belongs to which entry? number 1

---

What is the formula in the second record? ScFeCl2

---

The lowest ρ belongs to which entry? number 1